# 1
# NaTaBeRh2

NaTaBeRh2 at its PBEsol-relaxed geometry (meta-GGA SCAN, the Alexandria database).

Structure (extended XYZ):
```
5
Lattice="4.409 0.000 0.000 0.000 4.409 0.000 0.000 0.000 3.858" Properties=species:S:1:pos:R:3 pbc="T T T"
Na 0.000 0.000 0.000
Ta 2.204 2.204 1.929
Be 0.000 0.000 1.929
Rh 0.000 2.204 0.000
Rh 2.204 0.000 0.000
```

Computed properties:
Density: 9.27 g cm⁻³
V: 75.0 Å³/cell
Size of the total moment: 0.0 μB/f.u.
E_form: 1.406 eV/atom

# 2
# Na2SrBeRu

Na2SrBeRu at its PBEsol-relaxed geometry (meta-GGA SCAN, the Alexandria database).

Structure (extended XYZ):
```
5
Lattice="5.303 0.000 0.000 0.000 5.303 0.000 0.000 0.000 4.345" Properties=species:S:1:pos:R:3 pbc="T T T"
Na 0.000 2.651 0.000
Na 2.651 0.000 0.000
Sr 0.000 0.000 2.172
Be 2.651 2.651 2.172
Ru 2.651 2.651 0.000
```

Computed properties:
Density: 3.31 g cm⁻³
V: 122.2 Å³/cell
Size of the total moment: 0.0 μB/f.u.
E_form: 0.645 eV/atom